Record 1
A plane-wave DFT calculation with PBE was carried out for a geometry-optimized NiSe2N structure.

Lattice parameters (Å, degrees): 6.610 6.610 6.539 64.03 64.03 30.30
Fractional coordinates of all 8 atoms:
Se (0.860, 0.860, 0.831)
Se (0.361, 0.361, 0.348)
Se (0.639, 0.639, 0.652)
Se (0.140, 0.140, 0.169)
N (0.517, 0.517, 0.228)
N (0.483, 0.483, 0.772)
Ni (0.760, 0.760, 0.235)
Ni (0.240, 0.240, 0.765)

Values from the calculation:
raw total energy = -37.843 eV per cell
E_form (uncorrected) = 208 kJ/mol of formula units

=====

Record 2
A plane-wave DFT calculation with PBE was carried out for a geometry-optimized NiSeN3 structure.

Lattice parameters (Å, degrees): 3.714 3.714 3.714 90.00 90.00 90.00
Fractional coordinates of all 5 atoms:
Ni (0.000, 0.000, 0.000)
Se (0.500, 0.500, 0.500)
N (0.000, 0.000, 0.500)
N (0.000, 0.500, 0.000)
N (0.500, 0.000, 0.000)

Values from the calculation:
raw total energy = -24.630 eV per cell
E_form (uncorrected) = 927 kJ/mol of formula units